<w>
Here is an optimized crystal structure of Pu3Ga3Au2 from the Alexandria database. Energies are from PBE.

Size of the total moment (μB/cell): 33.35

abc: 17.2490 4.4043 4.6835
angles: 90.00 105.58 90.00
With the nearest neighbours (Å) after each atom.
Space group C2/m (No. 12)
Asymmetric unit:
Pu: 0.0000 0.0000 0.0000  4 Pu 3.13-3.16, 8 Ga 3.21-3.23
Pu: 0.1262 0.0000 0.6283  4 Au 3.03-3.11, 6 Ga 3.04-3.23, 2 Pu 3.13-3.16
Ga: 0.0000 0.5000 0.5000  8 Pu 3.04-3.21, 4 Ga 3.32-3.33
Ga: 0.1421 0.5000 0.1428  4 Au 2.76-3.03
Au: 0.2419 0.0000 0.2429  4 Ga 2.76-3.03, 2 Pu 3.03

<x>
Here is an optimized crystal structure of Pu3Ga3Au2 from the Alexandria database. Energies are from PBE.

Size of the total moment (μB/cell): 67.12

abc: 4.6271 10.4703 14.5826
angles: 90.00 90.00 90.00
With the nearest neighbours (Å) after each atom.
Space group Cmcm (No. 63)
Asymmetric unit:
Pu: 0.0000 0.0842 0.1098  4 Au 3.07-3.35, 7 Ga 3.13-3.35, 1 Pu 3.36
Pu: 0.0000 0.3386 0.2500  5 Ga 3.06-3.18, 4 Au 3.21, 2 Pu 3.36
Ga: 0.0000 0.3692 0.7500  2 Au 2.73, 1 Pu 3.06
Ga: 0.0000 0.3885 0.0399  1 Ga 2.61, 3 Au 2.69-2.79
Au: 0.0000 0.2092 0.6018  4 Ga 2.69-2.79

Short version: <w> is the least stable of them.

<w>
Here is an optimized crystal structure of PuGa3Au from the Alexandria database. Energies are from PBE.

Size of the total moment (μB/cell): 11.04

abc: 4.2802 4.2802 11.0335
angles: 90.00 90.00 90.00
With the nearest neighbours (Å) after each atom.
Space group I4mm (No. 107)
Asymmetric unit:
Pu: 0.0000 0.0000 0.0000  8 Ga 3.18-3.32, 4 Au 3.39
Ga: 0.0000 0.0000 0.5887  1 Au 2.50, 4 Ga 2.64
Ga: 0.0000 0.5000 0.2295  2 Au 2.59, 2 Ga 2.64
Au: 0.0000 0.0000 0.3624  5 Ga 2.50-2.59

<x>
Here is an optimized crystal structure of PuGa3Au from the Alexandria database. Energies are from PBE.

Size of the total moment (μB/cell): 22.00

abc: 8.3298 4.3617 11.0809
angles: 90.00 90.00 90.00
With the nearest neighbours (Å) after each atom.
Space group Pnma (No. 62)
Asymmetric unit:
Pu: 0.1904 0.2500 0.0107  7 Ga 3.05-3.09, 2 Au 3.32
Ga: 0.0842 0.2500 0.6008  3 Au 2.66-2.70, 2 Ga 2.74-2.77
Ga: 0.1062 0.7500 0.8240  2 Au 2.56-2.58, 2 Ga 2.86
Ga: 0.1133 0.7500 0.1976  4 Ga 2.74-2.86, 2 Au 2.81
Au: 0.0890 0.2500 0.3568  7 Ga 2.56-2.81

Short version: <x> is the least stable of them.

<w>
Here is an optimized crystal structure of PuGa2Au6 from the Alexandria database. Energies are from PBE.

Size of the total moment (μB/cell): 11.32

abc: 13.1252 8.9716 3.1366
angles: 90.00 103.81 90.00
With the nearest neighbours (Å) after each atom.
Space group C2/m (No. 12)
Asymmetric unit:
Pu: 0.0000 0.0000 0.0000  12 Au 3.13-3.39, 2 Pu 3.14
Ga: 0.1421 0.5000 0.1464  6 Au 2.66-2.82
Au: 0.0000 0.3348 0.5000  3 Au 2.80-2.96, 4 Ga 2.81-2.82
Au: 0.1810 0.1582 0.6809  1 Ga 2.66, 4 Au 2.80-2.88

<x>
Here is an optimized crystal structure of PuGa2Au6 from the Alexandria database. Energies are from PBE.

Size of the total moment (μB/cell): 11.19

abc: 10.2156 6.4018 5.5509
angles: 90.00 95.06 90.00
With the nearest neighbours (Å) after each atom.
Space group C2/m (No. 12)
Asymmetric unit:
Pu: 0.0000 0.0000 0.0000  12 Au 3.15-3.49, 4 Ga 3.44
Ga: 0.0938 0.5000 0.8648  1 Ga 2.54, 4 Au 2.60-2.76
Au: 0.0000 0.2322 0.5000  2 Ga 2.76, 5 Au 2.87-2.97
Au: 0.2331 0.2724 0.2507  2 Ga 2.60-2.86, 4 Au 2.77-2.91

Short version: <w> is the least stable of them.

<w>
Here is an optimized crystal structure of Pu2Ga6Au from the Alexandria database. Energies are from PBE.

Size of the total moment (μB/cell): 10.97

abc: 6.0196 6.0196 5.5861
angles: 90.00 90.00 120.00
With the nearest neighbours (Å) after each atom.
Space group P-3m1 (No. 164)
Asymmetric unit:
Pu: 0.3333 0.6667 0.3263  12 Ga 3.13-3.23
Ga: 0.1806 0.3613 0.8241  1 Au 2.61, 4 Ga 2.72-2.76
Au: 0.0000 0.0000 0.5000  6 Ga 2.61

<x>
Here is an optimized crystal structure of Pu2Ga6Au from the Alexandria database. Energies are from PBE.

Size of the total moment (μB/cell): 11.87

abc: 4.8027 4.8027 8.3758
angles: 90.00 90.00 90.00
With the nearest neighbours (Å) after each atom.
Space group P4/mmm (No. 123)
Asymmetric unit:
Pu: 0.0000 0.0000 0.2481  12 Ga 3.18-3.44
Ga: 0.0000 0.5000 0.0000  4 Ga 2.84, 4 Pu 3.18
Ga: 0.0000 0.5000 0.5000  2 Au 2.40
Ga: 0.5000 0.5000 0.1807  1 Au 2.67, 4 Ga 2.84
Au: 0.5000 0.5000 0.5000  6 Ga 2.40-2.67

Short version: <x> is the least stable of them.

<w>
Here is an optimized crystal structure of PuScGaAu from the Alexandria database. Energies are from PBE.

Size of the total moment (μB/cell): 22.42

abc: 7.0517 7.0517 7.0517
angles: 90.00 90.00 90.00
With the nearest neighbours (Å) after each atom.
Space group F-43m (No. 216)
Asymmetric unit:
Pu: 0.0000 0.0000 0.0000  4 Ga 3.05, 4 Au 3.05
Sc: 0.0000 0.0000 0.5000  4 Au 3.05, 4 Ga 3.05
Ga: 0.2500 0.2500 0.2500  4 Sc 3.05, 4 Pu 3.05
Au: 0.2500 0.2500 0.7500  4 Sc 3.05, 4 Pu 3.05

<x>
Here is an optimized crystal structure of PuScGaAu from the Alexandria database. Energies are from PBE.

Size of the total moment (μB/cell): 5.67

abc: 3.3642 3.3642 7.4968
angles: 90.00 90.00 90.00
With the nearest neighbours (Å) after each atom.
Space group P4mm (No. 99)
Asymmetric unit:
Pu: 0.0000 0.0000 0.0000  4 Ga 3.11, 4 Au 3.25, 4 Pu 3.36
Sc: 0.0000 0.0000 0.5072  4 Au 2.86, 4 Ga 2.92
Ga: 0.5000 0.5000 0.7327  4 Sc 2.92, 4 Pu 3.11
Au: 0.5000 0.5000 0.2956  4 Sc 2.86

Short version: <w> is the least stable of them.

<w>
Here is an optimized crystal structure of PuZnGaAu from the Alexandria database. Energies are from PBE.

Size of the total moment (μB/cell): 21.57

abc: 6.8530 6.8530 6.8530
angles: 90.00 90.00 90.00
With the nearest neighbours (Å) after each atom.
Space group F-43m (No. 216)
Asymmetric unit:
Pu: 0.0000 0.0000 0.0000  4 Au 2.97, 4 Ga 2.97
Zn: 0.0000 0.0000 0.5000  4 Ga 2.97, 4 Au 2.97
Ga: 0.2500 0.2500 0.7500  4 Pu 2.97, 4 Zn 2.97
Au: 0.2500 0.2500 0.2500  4 Zn 2.97, 4 Pu 2.97

<x>
Here is an optimized crystal structure of PuZnGaAu from the Alexandria database. Energies are from PBE.

Size of the total moment (μB/cell): 10.78

abc: 4.8625 4.8625 6.8079
angles: 90.00 90.00 90.00
With the nearest neighbours (Å) after each atom.
Space group I-4m2 (No. 119)
Asymmetric unit:
Pu: 0.0000 0.0000 0.0000  4 Zn 2.97, 4 Au 2.97
Zn: 0.0000 0.5000 0.7500  4 Ga 2.97, 4 Pu 2.97
Ga: 0.0000 0.0000 0.5000  4 Zn 2.97, 4 Au 2.97
Au: 0.0000 0.5000 0.2500  4 Pu 2.97, 4 Ga 2.97

Short version: <x> is the least stable of them.